Below is crystalline CoIO at its relaxed geometry, with properties calculated at the PBE+U level.

Cell lengths 3.5829, 3.5829, 9.2966 Å; angles 90.00, 90.00, 90.00 degrees
Space group P4/nmm (No. 129, origin choice 2)
Inequivalent atoms, fractional coordinates:
1 Co 0.2500 0.2500 0.0892 (multiplicity 2)
2 I 0.2500 0.2500 0.6719 (multiplicity 2)
3 O 0.2500 0.7500 0.0000 (multiplicity 2)

**Final energy**: -0.17237 hartree per atom
**Total magnetization**: 2.41 μB/f.u.
**Excess energy over the best structure of this formula in the dataset**: 0 meV per atom